(1)
{
  "formula": "ZrScGe",
  "functional": "GGA-PBE",
  "state": "relaxed",
  "e_tot_ev_per_cell": -20.81,
  "magnetic_moment_mub_per_cell": 0.0,
  "cell": [[0.000, 3.219, 3.219], [3.219, 0.000, 3.219], [3.219, 3.219, 0.000]],
  "species": ["Zr", "Sc", "Ge"],
  "frac_coords": [[0.000, 0.000, 0.000], [0.500, 0.500, 0.500], [0.750, 0.750, 0.750]]
}

=====

(2)
{
  "formula": "BeReAu",
  "functional": "GGA-PBE",
  "state": "relaxed",
  "magnetic_moment_mub_per_cell": 2.0,
  "e_above_lowest_polymorph_kj_per_mol_atoms": 48.2,
  "cell": [[0.000, 2.965, 2.965], [2.965, 0.000, 2.965], [2.965, 2.965, 0.000]],
  "species": ["Be", "Re", "Au"],
  "frac_coords": [[0.000, 0.000, 0.000], [0.750, 0.750, 0.750], [0.500, 0.500, 0.500]]
}

=====

(3)
{
  "formula": "GdFeNiGe2",
  "functional": "GGA-PBE",
  "state": "relaxed",
  "e_tot_ev_per_cell": -30.66,
  "magnetic_moment_mub_per_cell": 1.8,
  "cell": [[-2.041, 2.041, 4.968], [2.041, -2.041, 4.968], [2.041, 2.041, -4.968]],
  "species": ["Gd", "Fe", "Ni", "Ge", "Ge"],
  "frac_coords": [[0.000, 0.000, 0.000], [0.250, 0.750, 0.500], [0.750, 0.250, 0.500], [0.371, 0.371, 0.000], [0.629, 0.629, 0.000]]
}

=====

(4)
{
  "formula": "MgGePd5",
  "functional": "GGA-PBE",
  "state": "relaxed",
  "e_tot_ev_per_cell": -35.68,
  "cell": [[4.034, 0.000, 0.000], [0.000, 4.034, 0.000], [0.000, 0.000, 6.982]],
  "species": ["Mg", "Ge", "Pd", "Pd", "Pd", "Pd", "Pd"],
  "frac_coords": [[0.000, 0.000, 0.000], [0.500, 0.500, 0.500], [0.000, 0.500, 0.286], [0.000, 0.500, 0.714], [0.500, 0.000, 0.286], [0.500, 0.000, 0.714], [0.500, 0.500, 0.000]]
}

=====

(5)
{
  "formula": "BeTePdO",
  "functional": "GGA-PBE",
  "state": "relaxed",
  "e_above_lowest_polymorph_kj_per_mol_atoms": 136.6,
  "cell": [[4.010, 0.000, 0.000], [0.000, 4.010, 0.000], [0.000, 0.000, 8.095]],
  "species": ["Be", "Be", "Te", "Te", "Pd", "Pd", "O", "O"],
  "frac_coords": [[0.250, 0.250, 0.146], [0.750, 0.750, 0.854], [0.250, 0.250, 0.847], [0.750, 0.750, 0.153], [0.250, 0.250, 0.424], [0.750, 0.750, 0.576], [0.250, 0.750, 0.500], [0.750, 0.250, 0.500]]
}

=====

(6)
{
  "formula": "LaPmP2",
  "functional": "GGA-PBE",
  "state": "relaxed",
  "e_tot_ev_per_cell": -26.73,
  "magnetic_moment_mub_per_cell": 0.0,
  "cell": [[4.204, 0.000, 0.000], [0.000, 4.204, 0.000], [0.000, 0.000, 5.942]],
  "species": ["La", "Pm", "P", "P"],
  "frac_coords": [[0.000, 0.000, 0.000], [0.500, 0.500, 0.500], [0.000, 0.000, 0.500], [0.500, 0.500, 0.000]]
}